The following is a DFT calculation (PBE) of a relaxed structure of Er2Ga2MoRu5.

The value obtained for the volume is 16.71 Å³/atom. The formation energy from the elements comes out at -0.311 eV/atom. The value obtained for the density is 10.7 g/cm3. The total energy is -7.550 eV per atom.

The structure belongs to space group P4/mbm (No. 127); the cell edges are 10.067, 10.067 and 3.298 Å and the angles 90.00°, 90.00° and 90.00°. Symmetry generates all atoms from Er at (0.171, 0.329, 0.000), Ga at (0.128, 0.628, 0.000), Mo at (0.000, 0.000, 0.000), Ru at (0.000, 0.500, 0.500) and Ru at (0.065, 0.804, 0.500).


The following is a DFT calculation (PBE) of a relaxed structure of Er7Ga2N2.

The value obtained for the volume is 23.92 Å³/atom. The value obtained for the density is 8.4 g/cm3. The total energy is -5.584 eV per atom. The raw formation energy is -0.6159 eV/atom.

The structure belongs to space group C2/m (No. 12); the cell edges are 8.328, 9.826 and 6.441 Å and the angles 90.00°, 92.99° and 90.00°. Symmetry generates all atoms from Er at (0.000, 0.000, 0.000), Er at (0.173, 0.327, 0.202), Er at (0.178, 0.500, 0.665), Ga at (0.000, 0.142, 0.500) and N at (0.229, 0.500, 0.000).